Record 1
A relaxed SmDy4Pb5 crystal. Source: Alexandria via LeMat-Bulk, functional PBE.

Cell lengths 3.5439, 3.5439, 22.5306 Å; angles 90.00, 90.00, 90.00 degrees
Sites, in units of the cell vectors:
Sm (0.0000, 0.0000, 0.0000)
Dy (0.0000, 0.0000, 0.2015)
Dy (0.0000, 0.0000, 0.4006)
Dy (0.0000, 0.0000, 0.5994)
Dy (0.0000, 0.0000, 0.7985)
Pb (0.5000, 0.5000, 0.1027)
Pb (0.5000, 0.5000, 0.3011)
Pb (0.5000, 0.5000, 0.5000)
Pb (0.5000, 0.5000, 0.6989)
Pb (0.5000, 0.5000, 0.8973)

Calculated values
Total magnetic moment = 0.000 μB per atom
E above lowest polymorph = 0 meV/atom
ΔH_f (0 K) = -447 meV/atom
Space group = No. 123

Record 2
A relaxed KAuS3 crystal. Source: Alexandria via LeMat-Bulk, functional PBE.

Cell lengths 5.3963, 5.3963, 5.3963 Å; angles 90.00, 90.00, 90.00 degrees
Sites, in units of the cell vectors:
K (0.0000, 0.0000, 0.0000)
Au (0.5000, 0.5000, 0.5000)
S (0.0000, 0.5000, 0.0000)
S (0.0000, 0.0000, 0.5000)
S (0.5000, 0.0000, 0.0000)

Calculated values
Total magnetic moment = 0.000 μB per atom
ΔE_f (raw) = 1.5264 eV per atom
Space group = No. 221

Record 3
A relaxed AlRh crystal. Source: Alexandria via LeMat-Bulk, functional PBE.

Cell lengths 4.2589, 4.2589, 4.2589 Å; angles 39.92, 39.92, 39.92 degrees
Sites, in units of the cell vectors:
Rh (0.5000, 0.5000, 0.5000)
Al (0.0000, 0.0000, 0.0000)

Calculated values
Total magnetic moment = 0.000 μB per atom
ΔH_f (0 K) = -720 meV/atom
Space group = No. 166

Record 4
A relaxed SrSmAgPd crystal. Source: Alexandria via LeMat-Bulk, functional PBE.

Cell lengths 5.2571, 5.2571, 5.2571 Å; angles 60.00, 60.00, 60.00 degrees
Sites, in units of the cell vectors:
Sr (0.5000, 0.5000, 0.5000)
Pd (0.7500, 0.7500, 0.7500)
Ag (0.2500, 0.2500, 0.2500)
Sm (0.0000, 0.0000, 0.0000)

Calculated values
Total magnetic moment = 0.000 μB per atom
ΔH_f (0 K) = -416 meV/atom
Space group = No. 216

Record 5
A relaxed PmHo3Er12 crystal. Source: Alexandria via LeMat-Bulk, functional PBE.

Cell lengths 4.9754, 4.9754, 19.8944 Å; angles 90.00, 90.00, 90.00 degrees
Sites, in units of the cell vectors:
Pm (0.0000, 0.0000, 0.0000)
Ho (0.0000, 0.0000, 0.2508)
Ho (0.0000, 0.0000, 0.5000)
Ho (0.0000, 0.0000, 0.7492)
Er (0.5000, 0.5000, 0.0000)
Er (0.5000, 0.5000, 0.2513)
Er (0.5000, 0.5000, 0.5000)
Er (0.5000, 0.5000, 0.7487)
Er (0.5000, 0.0000, 0.1265)
Er (0.5000, 0.0000, 0.3755)
Er (0.5000, 0.0000, 0.6245)
Er (0.5000, 0.0000, 0.8735)
Er (0.0000, 0.5000, 0.1265)
Er (0.0000, 0.5000, 0.3755)
Er (0.0000, 0.5000, 0.6245)
Er (0.0000, 0.5000, 0.8735)

Calculated values
Total magnetic moment = 0.000 μB per atom
ΔH_f (0 K) = 22 meV/atom
Space group = No. 123

Record 6
A relaxed Ce8Co2C crystal. Source: Alexandria via LeMat-Bulk, functional PBE.

Cell lengths 3.4990, 8.2636, 8.7249 Å; angles 96.34, 101.57, 90.00 degrees
Last column: magnetic moment on the atom in μB.
Sites, in units of the cell vectors:
Ce (0.5943, 0.5211, 0.1886)  0.00
Ce (0.3498, 0.0177, 0.6997)  0.36
Ce (0.2158, 0.3383, 0.4316)  0.07
Ce (0.9814, 0.7873, 0.9629)  0.09
Ce (0.7842, 0.6617, 0.5684)  0.07
Ce (0.6502, 0.9823, 0.3003)  0.36
Ce (0.4057, 0.4789, 0.8114)  0.00
Ce (0.0186, 0.2127, 0.0371)  0.09
Co (0.1672, 0.7287, 0.3343)  -0.03
Co (0.8328, 0.2713, 0.6657)  -0.03
C (0.5000, 0.0000, 0.0000)  -0.01

Calculated values
Total magnetic moment = 0.113 μB per atom
ΔH_f (0 K) = -120 meV/atom
Space group = No. 12

Record 7
A relaxed CuNiRh2 crystal. Source: Alexandria via LeMat-Bulk, functional PBE.

Cell lengths 3.7111, 2.6839, 5.8648 Å; angles 62.78, 90.00, 90.00 degrees
Sites, in units of the cell vectors:
Ni (0.5000, 0.7540, 0.7458)
Rh (0.0000, 0.0039, 0.9962)
Rh (0.5000, 0.2500, 0.2499)
Cu (0.0000, 0.4921, 0.5083)

Calculated values
Total magnetic moment = 0.000 μB per atom
ΔH_f (0 K) = 61 meV/atom
Space group = No. 25

Record 8
A relaxed Sr2Be3 crystal. Source: Alexandria via LeMat-Bulk, functional PBE.

Cell lengths 8.6754, 8.6754, 8.6754 Å; angles 27.94, 27.94, 27.94 degrees
Sites, in units of the cell vectors:
Sr (0.5831, 0.5831, 0.5831)
Sr (0.4169, 0.4169, 0.4169)
Be (0.0000, 0.0000, 0.0000)
Be (0.1660, 0.1660, 0.1660)
Be (0.8340, 0.8340, 0.8340)

Calculated values
Total magnetic moment = 0.000 μB per atom
E above lowest polymorph = 473 meV/atom
ΔH_f (0 K) = 607 meV/atom
Space group = No. 166

Record 9
A relaxed As2OsBrF crystal. Source: Alexandria via LeMat-Bulk, functional PBE.

Cell lengths 4.2387, 4.2387, 5.0049 Å; angles 90.00, 90.00, 90.00 degrees
Sites, in units of the cell vectors:
As (0.0000, 0.5000, 0.0000)
As (0.5000, 0.0000, 0.0000)
Os (0.5000, 0.5000, 0.5000)
Br (0.0000, 0.0000, 0.5000)
F (0.0000, 0.0000, 0.0000)

Calculated values
Total magnetic moment = 0.000 μB per atom
E above lowest polymorph = 699 meV/atom
ΔE_f (raw) = 0.9938 eV per atom
Space group = No. 123

Record 10
A relaxed Sr2TlCl2 crystal. Source: Alexandria via LeMat-Bulk, functional PBE.

Cell lengths 4.7234, 4.7234, 8.3208 Å; angles 73.51, 73.51, 90.00 degrees
Sites, in units of the cell vectors:
Sr (0.3672, 0.3672, 0.2657)
Sr (0.6328, 0.6328, 0.7343)
Tl (0.0000, 0.0000, 0.0000)
Cl (0.7500, 0.2500, 0.5000)
Cl (0.2500, 0.7500, 0.5000)

Calculated values
Total magnetic moment = 0.060 μB per atom
ΔE_f (raw) = -1.4451 eV per atom
Space group = No. 139

Record 11
A relaxed La3Tb2UN6 crystal. Source: Alexandria via LeMat-Bulk, functional PBE.

Cell lengths 6.1562, 6.1562, 6.3145 Å; angles 99.36, 99.36, 119.89 degrees
Sites, in units of the cell vectors:
La (0.1687, 0.8313, 0.5000)
La (0.8313, 0.1687, 0.5000)
La (0.5000, 0.5000, 0.5000)
Tb (0.3337, 0.6663, 0.0000)
Tb (0.6663, 0.3337, 0.0000)
U (0.0000, 0.0000, 0.0000)
N (0.9286, 0.6224, 0.7859)
N (0.7652, 0.7652, 0.2187)
N (0.0714, 0.3776, 0.2141)
N (0.6224, 0.9286, 0.7859)
N (0.2348, 0.2348, 0.7813)
N (0.3776, 0.0714, 0.2141)

Calculated values
Total magnetic moment = 0.000 μB per atom
ΔE_f (raw) = -1.4990 eV per atom
Space group = No. 12

Record 12
A relaxed Pm5Dy4Tm2 crystal. Source: Alexandria via LeMat-Bulk, functional PBE.

Cell lengths 3.5423, 11.5945, 8.9695 Å; angles 93.92, 101.39, 90.00 degrees
Sites, in units of the cell vectors:
Pm (0.9027, 0.4646, 0.8053)
Pm (0.0973, 0.5354, 0.1947)
Pm (0.8230, 0.9294, 0.6460)
Pm (0.5000, 0.0000, 0.0000)
Pm (0.1770, 0.0706, 0.3540)
Dy (0.3591, 0.2059, 0.7181)
Dy (0.9635, 0.7394, 0.9269)
Dy (0.6409, 0.7941, 0.2819)
Dy (0.0365, 0.2606, 0.0731)
Tm (0.7154, 0.3524, 0.4309)
Tm (0.2846, 0.6476, 0.5691)

Calculated values
Total magnetic moment = 0.000 μB per atom
E above lowest polymorph = 0 meV/atom
ΔH_f (0 K) = 75 meV/atom
Space group = No. 12

Record 13
A relaxed HgWAu2 crystal. Source: Alexandria via LeMat-Bulk, functional PBE.

Cell lengths 4.1413, 4.2046, 4.2046 Å; angles 90.00, 90.00, 90.00 degrees
Sites, in units of the cell vectors:
Au (0.0000, 0.0000, 0.0000)
Au (0.0000, 0.5000, 0.5000)
Hg (0.5000, 0.5000, 0.0000)
W (0.5000, 0.0000, 0.5000)

Calculated values
Total magnetic moment = 0.000 μB per atom
ΔH_f (0 K) = 701 meV/atom
Space group = No. 123

Record 14
A relaxed ScTc2Se crystal. Source: Alexandria via LeMat-Bulk, functional PBE.

Cell lengths 5.2237, 5.2237, 4.5402 Å; angles 69.97, 69.97, 34.88 degrees
Sites, in units of the cell vectors:
Sc (0.5005, 0.5005, 0.5152)
Se (0.7281, 0.7281, 0.7817)
Tc (0.0003, 0.0003, 0.0278)
Tc (0.2711, 0.2711, 0.1754)

Calculated values
Total magnetic moment = 0.000 μB per atom
ΔE_f (raw) = -0.1171 eV per atom
Space group = No. 8

Record 15
A relaxed Rb2VHgS4 crystal. Source: Alexandria via LeMat-Bulk, functional PBE.

Cell lengths 6.1245, 7.4750, 12.3049 Å; angles 84.15, 75.59, 65.82 degrees
Last column: magnetic moment on the atom in μB.
Sites, in units of the cell vectors:
Rb (0.1796, 0.0000, 0.6409)  0.00
Rb (0.8204, 0.0000, 0.3591)  0.00
Rb (0.5704, 0.5000, 0.8591)  0.00
Rb (0.9296, 0.5000, 0.1409)  0.00
V (0.2500, 0.5000, 0.5000)  0.99
V (0.5000, 0.0000, 0.0000)  0.99
Hg (0.7500, 0.5000, 0.5000)  0.04
Hg (0.0000, 0.0000, 0.0000)  0.04
S (0.3346, 0.8068, 0.1082)  -0.03
S (0.2495, 0.1932, 0.8918)  -0.03
S (0.8587, 0.8068, 0.8918)  -0.03
S (0.5573, 0.1932, 0.1082)  -0.03
S (0.4154, 0.6932, 0.3918)  -0.03
S (0.5005, 0.3068, 0.6082)  -0.03
S (0.8913, 0.6932, 0.6082)  -0.03
S (0.1927, 0.3068, 0.3918)  -0.03

Calculated values
Total magnetic moment = 0.125 μB per atom
ΔE_f (raw) = -0.8225 eV per atom
Space group = No. 70

Record 16
A relaxed KPr2NdTe4 crystal. Source: Alexandria via LeMat-Bulk, functional PBE.

Cell lengths 4.5379, 7.9941, 8.0040 Å; angles 71.37, 90.00, 90.00 degrees
Sites, in units of the cell vectors:
K (0.0000, 0.5000, 0.5000)
Pr (0.0000, 0.0000, 0.0000)
Pr (0.5000, 0.0000, 0.5000)
Nd (0.5000, 0.5000, 0.0000)
Te (0.0000, 0.7517, 0.7551)
Te (0.0000, 0.2483, 0.2449)
Te (0.5000, 0.7595, 0.2388)
Te (0.5000, 0.2405, 0.7612)

Calculated values
Total magnetic moment = 0.000 μB per atom
ΔE_f (raw) = -1.3989 eV per atom
Space group = No. 10

Record 17
A relaxed GeTeI crystal. Source: Alexandria via LeMat-Bulk, functional PBE.

Cell lengths 7.2688, 4.0315, 4.0315 Å; angles 120.00, 90.00, 90.00 degrees
Sites, in units of the cell vectors:
I (0.2535, 0.3333, 0.6667)
Ge (0.9788, 0.0000, 0.0000)
Te (0.7677, 0.6667, 0.3333)

Calculated values
Total magnetic moment = 0.000 μB per atom
E above lowest polymorph = 24 meV/atom
ΔE_f (raw) = -0.0932 eV per atom
Space group = No. 156

Record 18
A relaxed RhCl5 crystal. Source: Alexandria via LeMat-Bulk, functional PBE.

Cell lengths 3.2044, 3.2044, 13.7420 Å; angles 90.00, 90.00, 90.00 degrees
Last column: magnetic moment on the atom in μB.
Sites, in units of the cell vectors:
Rh (0.5000, 0.5000, 0.0000)  2.14
Cl (0.0000, 0.0000, 0.8876)  0.37
Cl (0.0000, 0.0000, 0.1124)  0.37
Cl (0.5000, 0.5000, 0.6473)  0.73
Cl (0.5000, 0.5000, 0.3527)  0.73
Cl (0.0000, 0.0000, 0.5000)  0.86

Calculated values
Total magnetic moment = 0.990 μB per atom
E above lowest polymorph = 742 meV/atom
ΔE_f (raw) = 0.5367 eV per atom
Space group = No. 123